(1)
A relaxed structure of Pt2Rh. Source: Alexandria, functional PBEsol.

Lattice parameters (Å, degrees): 2.7394 2.7394 6.6835 90.00 90.00 120.00
Sites, in units of the cell vectors:
Pt (0.3333, 0.6667, 0.6720)
Rh (0.0000, 0.0000, 0.0000)
Pt (0.6667, 0.3333, 0.3280)

The crystal system is trigonal. The formation energy comes out at 0.002 eV per atom. The calculation puts the density of states at the Fermi level at 1.883 states/eV per atom.

***

(2)
A relaxed structure of ReMoW2. Source: Alexandria, functional PBEsol.

Lattice parameters (Å, degrees): 2.7119 2.7118 8.8413 90.00 90.00 109.55
Sites, in units of the cell vectors:
W (0.0000, 0.0000, 0.0019)
W (0.5000, 0.5000, 0.7492)
Mo (0.0000, 0.0000, 0.4985)
Re (0.5000, 0.5000, 0.2505)

The crystal system is orthorhombic. The calculation puts the offset from the most stable computed form at 51.2 meV/atom. The formation energy comes out at 0.067 eV per atom. The calculation puts the density of states at the Fermi level at 0.763 states/eV per atom.

***

(3)
A relaxed structure of Tc2TeRh. Source: Alexandria, functional PBEsol.

Lattice parameters (Å, degrees): 2.9531 4.6662 4.7706 97.31 108.03 90.00
Sites, in units of the cell vectors:
Te (0.4994, 0.5087, 0.9988)
Tc (0.7367, 0.2182, 0.4734)
Tc (0.0025, 0.0113, 0.0050)
Rh (0.2614, 0.7618, 0.5228)

The crystal system is monoclinic. The calculation puts the density of states at the Fermi level at 0.914 states/eV per atom.

***

(4)
A relaxed structure of SrMnAsH2. Source: Alexandria, functional PBEsol.

Lattice parameters (Å, degrees): 3.9687 3.9687 7.0240 90.00 90.00 90.00
Each line ends with the local moment (μB).
Sites, in units of the cell vectors:
As (0.5000, 0.5000, 0.5000)  -0.10
H (0.5000, 0.0000, 0.0000)  -0.01
H (0.0000, 0.5000, 0.0000)  -0.01
Mn (0.0000, 0.0000, 0.5000)  4.18
Sr (0.0000, 0.0000, 0.0000)  0.01

The crystal system is tetragonal. The calculation puts the density of states at the Fermi level at 0.426 states/eV per atom.

***

(5)
A relaxed structure of CdCu2Tc. Source: Alexandria, functional PBEsol.

Lattice parameters (Å, degrees): 3.5775 3.9467 3.9467 90.00 90.00 90.00
Sites, in units of the cell vectors:
Cu (0.0000, 0.0000, 0.5000)
Tc (0.5000, 0.5000, 0.5000)
Cd (0.5000, 0.0000, 0.0000)
Cu (0.0000, 0.5000, 0.0000)

The crystal system is tetragonal. The formation energy comes out at 0.395 eV per atom. The calculation puts the density of states at the Fermi level at 0.602 states/eV per atom.

***

(6)
A relaxed structure of CsTiMnOF5. Source: Alexandria, functional PBEsol.

Lattice parameters (Å, degrees): 7.3151 7.3988 7.3988 60.56 60.37 60.37
Each line ends with the local moment (μB).
Sites, in units of the cell vectors:
F (0.1576, 0.5550, 0.6866)  0.02
F (0.8424, 0.8134, 0.9450)  0.02
F (0.1576, 0.1866, 0.0550)  0.02
O (0.7788, 0.4712, 0.9712)  0.00
Ti (0.0000, 0.5000, 0.0000)  0.08
F (0.5819, 0.1681, 0.6681)  0.07
O (0.2212, 0.5288, 0.0288)  0.00
F (0.6008, 0.5550, 0.6866)  0.02
Mn (0.5000, 0.5000, 0.5000)  4.52
F (0.3992, 0.4450, 0.3134)  0.02
Cs (0.8908, 0.8592, 0.3592)  0.00
Cs (0.1092, 0.1408, 0.6408)  0.00
Mn (0.5000, 0.0000, 0.0000)  4.52
F (0.3992, 0.8134, 0.9450)  0.02
F (0.8424, 0.4450, 0.3134)  0.02
F (0.4181, 0.8319, 0.3319)  0.07
F (0.6008, 0.1866, 0.0550)  0.02
Ti (0.5000, 0.5000, 0.0000)  0.08

The crystal system is orthorhombic.

***

(7)
A relaxed structure of SiTe2RhN. Source: Alexandria, functional PBEsol.

Lattice parameters (Å, degrees): 3.5970 5.3674 5.3674 90.00 90.00 90.00
Sites, in units of the cell vectors:
Te (0.0000, 0.5000, 0.0000)
Si (0.5000, 0.5000, 0.5000)
N (0.5000, 0.0000, 0.0000)
Rh (0.0000, 0.0000, 0.0000)
Te (0.0000, 0.0000, 0.5000)

The crystal system is tetragonal. The calculation puts the density of states at the Fermi level at 0.523 states/eV per atom.

***

(8)
A relaxed structure of KAs2Cl. Source: Alexandria, functional PBEsol.

Lattice parameters (Å, degrees): 5.0005 5.0005 5.0005 60.00 60.00 60.00
Sites, in units of the cell vectors:
As (0.7500, 0.7500, 0.7500)
As (0.0000, 0.0000, 0.0000)
K (0.2500, 0.2500, 0.2500)
Cl (0.5000, 0.5000, 0.5000)

The crystal system is cubic. The calculation puts the density of states at the Fermi level at 0.424 states/eV per atom.

***

Results for size of the total moment: 0.01, 0.00, 0.00, 4.41, 0.00, 5.00, 0.00, 0.00 (in μB/f.u., following the order of the records).
Results for E: -22.1, -52.4, -33.3, -20.1, -19.6, -59.9, -27.1, -13.9 (in eV per formula unit, following the order of the records).